[1]
Density functional theory data (PBE-GGA) for crystalline BaTb at its relaxed geometry.

Cell lengths 3.8771, 3.8771, 6.4811 Å; angles 90.00, 90.00, 120.00 degrees
With the nearest neighbours (Å) after each atom.
Positions (direct):
Tb (0.3333, 0.6667, 0.2500)  6 Tb 3.88, 6 Ba 3.94
Ba (0.6667, 0.3333, 0.7500)  6 Ba 3.88, 6 Tb 3.94

Properties
M_tot (Bohr magnetons per cell): 0.197
SG: No. 187
Energy of formation from the pure elements (eV/f.u.): 0.61



[2]
Density functional theory data (PBE-GGA) for crystalline Ba4Tb at its relaxed geometry.

Cell lengths 6.7237, 6.7237, 6.7237 Å; angles 90.00, 90.00, 90.00 degrees
With the nearest neighbours (Å) after each atom.
Positions (direct):
Tb (0.5000, 0.5000, 0.5000)  6 Ba 3.36
Ba (0.0000, 0.0000, 0.0000)  12 Ba 4.75
Ba (0.5000, 0.0000, 0.5000)  2 Tb 3.36
Ba (0.0000, 0.5000, 0.5000)  2 Tb 3.36
Ba (0.5000, 0.5000, 0.0000)  2 Tb 3.36

Properties
M_tot (Bohr magnetons per cell): 0.000
SG: No. 221
Energy of formation from the pure elements (eV/f.u.): 2.22



[3]
Density functional theory data (PBE-GGA) for crystalline BaTb3Tc at its relaxed geometry.

Cell lengths 5.5588, 5.5588, 5.5588 Å; angles 90.00, 90.00, 90.00 degrees
With the nearest neighbours (Å) after each atom.
Positions (direct):
Tb (0.0000, 0.5000, 0.0000)  2 Tc 2.78
Tb (0.0000, 0.0000, 0.5000)  2 Tc 2.78
Tb (0.5000, 0.0000, 0.0000)  2 Tc 2.78
Ba (0.5000, 0.5000, 0.5000)  12 Tb 3.93
Tc (0.0000, 0.0000, 0.0000)  6 Tb 2.78

Properties
M_tot (Bohr magnetons per cell): 0.000
SG: No. 221
Energy of formation from the pure elements (eV/f.u.): 0.45



[4]
Density functional theory data (PBE-GGA) for crystalline BaTb2Tc at its relaxed geometry.

Cell lengths 3.6112, 3.6112, 11.4311 Å; angles 80.91, 80.91, 60.00 degrees
With the nearest neighbours (Å) after each atom.
Positions (direct):
Tb (0.1095, 0.1095, 0.6715)  3 Tc 2.84
Tb (0.8905, 0.8905, 0.3285)  3 Tc 2.84
Ba (0.0000, 0.0000, 0.0000)  6 Ba 3.61, 2 Tb 3.69
Tc (0.5000, 0.5000, 0.5000)  6 Tb 2.84

Properties
M_tot (Bohr magnetons per cell): 0.003
SG: No. 166
Energy of formation from the pure elements (eV/f.u.): 1.28



[5]
Density functional theory data (PBE-GGA) for crystalline BaTb5Te8 at its relaxed geometry.

Cell lengths 9.2775, 9.2775, 9.2775 Å; angles 60.00, 60.00, 60.00 degrees
With the nearest neighbours (Å) after each atom.
Positions (direct):
Ba (0.2500, 0.2500, 0.2500)  4 Te 3.22
Tb (0.0000, 0.0000, 0.0000)  4 Te 3.01
Tb (0.6241, 0.6241, 0.1277)  6 Te 3.06-3.20
Tb (0.6241, 0.6241, 0.6241)  6 Te 3.06-3.20
Tb (0.1277, 0.6241, 0.6241)  6 Te 3.06-3.20
Tb (0.6241, 0.1277, 0.6241)  6 Te 3.06-3.20
Te (0.3917, 0.8249, 0.3917)  3 Tb 3.06, 1 Ba 3.22
Te (0.8249, 0.3917, 0.3917)  3 Tb 3.06, 1 Ba 3.22
Te (0.3917, 0.3917, 0.3917)  3 Tb 3.06, 1 Ba 3.22
Te (0.3917, 0.3917, 0.8249)  3 Tb 3.06, 1 Ba 3.22
Te (0.8677, 0.8677, 0.3970)  4 Tb 3.01-3.20
Te (0.3970, 0.8677, 0.8677)  4 Tb 3.01-3.20
Te (0.8677, 0.8677, 0.8677)  4 Tb 3.01-3.20
Te (0.8677, 0.3970, 0.8677)  4 Tb 3.01-3.20

Properties
M_tot (Bohr magnetons per cell): 0.000
SG: No. 216
Uncorrected formation energy (meV per atom): -1313



[6]
Density functional theory data (PBE-GGA) for crystalline BaTb6Te8 at its relaxed geometry.

Cell lengths 8.3147, 8.3147, 8.3147 Å; angles 89.98, 89.98, 89.98 degrees
With the nearest neighbours (Å) after each atom.
Positions (direct):
Ba (0.0000, 0.0000, 0.0000)  8 Te 3.55-3.97
Tb (0.5882, 0.4309, 0.8034)  5 Te 3.04-3.19
Tb (0.4309, 0.8034, 0.5882)  5 Te 3.04-3.19
Tb (0.8034, 0.5882, 0.4309)  5 Te 3.04-3.19
Tb (0.4118, 0.5691, 0.1966)  5 Te 3.04-3.19
Tb (0.5691, 0.1966, 0.4118)  5 Te 3.04-3.19
Tb (0.1966, 0.4118, 0.5691)  5 Te 3.04-3.19
Te (0.7535, 0.7535, 0.7535)  3 Tb 3.04
Te (0.2465, 0.2465, 0.2465)  3 Tb 3.04
Te (0.6246, 0.8677, 0.2632)  4 Tb 3.04-3.19
Te (0.8677, 0.2632, 0.6246)  4 Tb 3.04-3.19
Te (0.2632, 0.6246, 0.8677)  4 Tb 3.04-3.19
Te (0.3754, 0.1323, 0.7368)  4 Tb 3.04-3.19
Te (0.1323, 0.7368, 0.3754)  4 Tb 3.04-3.19
Te (0.7368, 0.3754, 0.1323)  4 Tb 3.04-3.19

Properties
M_tot (Bohr magnetons per cell): 1.936
SG: No. 148
Uncorrected formation energy (meV per atom): -1270



[7]
Density functional theory data (PBE-GGA) for crystalline BaTbTe2 at its relaxed geometry.

Cell lengths 4.5036, 4.5036, 8.5741 Å; angles 74.77, 74.77, 60.00 degrees
With the nearest neighbours (Å) after each atom.
Positions (direct):
Ba (0.4969, 0.4969, 0.5094)  6 Te 3.44-3.55
Tb (0.6692, 0.6692, 0.9924)  6 Te 3.11-3.17
Te (0.0719, 0.0719, 0.7844)  3 Tb 3.11, 3 Ba 3.44
Te (0.2621, 0.2621, 0.2138)  3 Tb 3.17

Properties
M_tot (Bohr magnetons per cell): 0.001
SG: No. 160
Uncorrected formation energy (meV per atom): -1490



[8]
Density functional theory data (PBE-GGA) for crystalline Ba3TbTe4 at its relaxed geometry.

Cell lengths 8.2958, 8.4154, 9.6689 Å; angles 90.00, 90.00, 109.63 degrees
With the nearest neighbours (Å) after each atom.
Positions (direct):
Te (0.9827, 0.2352, 0.6433)  1 Tb 3.20, 4 Ba 3.41-3.44
Te (0.5018, 0.2216, 0.8885)  2 Tb 3.21, 2 Ba 3.41-3.42
Te (0.4827, 0.2352, 0.3567)  1 Tb 3.20, 4 Ba 3.41-3.44
Te (0.0018, 0.2216, 0.1115)  2 Tb 3.21, 2 Ba 3.41-3.42
Te (0.9982, 0.7784, 0.8885)  2 Tb 3.21, 2 Ba 3.41-3.42
Te (0.5173, 0.7648, 0.6433)  1 Tb 3.20, 4 Ba 3.41-3.44
Te (0.4982, 0.7784, 0.1115)  2 Tb 3.21, 2 Ba 3.41-3.42
Te (0.0173, 0.7648, 0.3567)  1 Tb 3.20, 4 Ba 3.41-3.44
Tb (0.7500, 0.0000, 0.8780)  6 Te 3.20-3.21
Tb (0.2500, 0.0000, 0.1220)  6 Te 3.20-3.21
Ba (0.7500, 0.0000, 0.3749)  6 Te 3.42-3.44
Ba (0.2500, 0.0000, 0.6251)  6 Te 3.42-3.44
Ba (0.7500, 0.5000, 0.6247)  6 Te 3.41-3.64
Ba (0.7500, 0.5000, 0.1230)  6 Te 3.41-3.63
Ba (0.2500, 0.5000, 0.3753)  6 Te 3.41-3.64
Ba (0.2500, 0.5000, 0.8770)  6 Te 3.41-3.63

Properties
M_tot (Bohr magnetons per cell): 0.000
SG: No. 13
Uncorrected formation energy (meV per atom): -1629



[9]
Density functional theory data (PBE-GGA) for crystalline BaTb2Te4 at its relaxed geometry.

Cell lengths 4.5134, 7.6723, 15.4173 Å; angles 90.00, 90.00, 107.11 degrees
With the nearest neighbours (Å) after each atom.
Positions (direct):
Ba (0.6105, 0.2211, 0.7500)  6 Te 3.43-3.56
Ba (0.3895, 0.7789, 0.2500)  6 Te 3.43-3.56
Tb (0.1345, 0.2690, 0.4341)  6 Te 3.01-3.16
Tb (0.8655, 0.7310, 0.9341)  6 Te 3.01-3.16
Tb (0.1345, 0.2690, 0.0659)  6 Te 3.01-3.16
Tb (0.8655, 0.7310, 0.5659)  6 Te 3.01-3.16
Te (0.7689, 0.5379, 0.1136)  3 Tb 3.09-3.11
Te (0.7689, 0.5379, 0.3864)  3 Tb 3.09-3.11
Te (0.2311, 0.4621, 0.8864)  3 Tb 3.09-3.11
Te (0.2311, 0.4621, 0.6136)  3 Tb 3.09-3.11
Te (0.9347, 0.8694, 0.7500)  2 Tb 3.01
Te (0.0653, 0.1306, 0.2500)  2 Tb 3.01
Te (0.5000, 0.0000, 0.0000)  4 Tb 3.16
Te (0.5000, 0.0000, 0.5000)  4 Tb 3.16

Properties
M_tot (Bohr magnetons per cell): 0.000
SG: No. 63
Uncorrected formation energy (meV per atom): -1524



[10]
Density functional theory data (PBE-GGA) for crystalline BaTbTe2 at its relaxed geometry.

Cell lengths 4.5832, 4.5832, 8.2762 Å; angles 73.93, 73.93, 60.00 degrees
With the nearest neighbours (Å) after each atom.
Positions (direct):
Ba (0.5000, 0.5000, 0.5000)  6 Te 3.46
Tb (0.0000, 0.0000, 0.0000)  6 Te 3.14
Te (0.2613, 0.2613, 0.2162)  3 Tb 3.14, 3 Ba 3.46
Te (0.7387, 0.7387, 0.7838)  3 Tb 3.14, 3 Ba 3.46

Properties
M_tot (Bohr magnetons per cell): 0.000
SG: No. 166
Uncorrected formation energy (meV per atom): -1529



[11]
Density functional theory data (PBE-GGA) for crystalline Ba3TbTe4 at its relaxed geometry.

Cell lengths 4.7860, 8.3768, 8.3768 Å; angles 108.99, 90.00, 90.00 degrees
With the nearest neighbours (Å) after each atom.
Positions (direct):
Ba (0.0000, 0.0000, 0.5000)  6 Te 3.42
Ba (0.5000, 0.5000, 0.5000)  6 Te 3.60-3.63
Ba (0.0000, 0.5000, 0.0000)  6 Te 3.42
Tb (0.5000, 0.0000, 0.0000)  6 Te 3.19-3.23
Te (0.0000, 0.2233, 0.2233)  2 Tb 3.23, 4 Ba 3.42-3.60
Te (0.5000, 0.7659, 0.2341)  1 Tb 3.19, 4 Ba 3.42
Te (0.0000, 0.7767, 0.7767)  2 Tb 3.23, 4 Ba 3.42-3.60
Te (0.5000, 0.2341, 0.7659)  1 Tb 3.19, 4 Ba 3.42

Properties
M_tot (Bohr magnetons per cell): 0.000
SG: No. 65
Uncorrected formation energy (meV per atom): -1623



[12]
Density functional theory data (PBE-GGA) for crystalline BaTb3Te6 at its relaxed geometry.

Cell lengths 4.5002, 12.7922, 13.1318 Å; angles 109.27, 90.00, 90.00 degrees
With the nearest neighbours (Å) after each atom.
Positions (direct):
Ba (0.7500, 0.0527, 0.6974)  8 Te 3.52-3.65
Ba (0.2500, 0.9473, 0.3026)  8 Te 3.52-3.65
Tb (0.7500, 0.4495, 0.8380)  6 Te 3.08-3.15
Tb (0.2500, 0.5505, 0.1620)  6 Te 3.08-3.15
Tb (0.7500, 0.6759, 0.4973)  7 Te 3.12-3.29
Tb (0.2500, 0.3241, 0.5027)  7 Te 3.12-3.29
Tb (0.7500, 0.1546, 0.0844)  6 Te 3.05-3.12
Tb (0.2500, 0.8454, 0.9156)  6 Te 3.05-3.12
Te (0.7500, 0.4893, 0.6194)  4 Tb 3.08-3.29
Te (0.2500, 0.5107, 0.3806)  4 Tb 3.08-3.29
Te (0.7500, 0.9143, 0.0868)  3 Tb 3.08-3.10
Te (0.2500, 0.0857, 0.9132)  3 Tb 3.08-3.10
Te (0.7500, 0.3843, 0.0493)  4 Tb 3.11-3.15
Te (0.2500, 0.6157, 0.9507)  4 Tb 3.11-3.15
Te (0.7500, 0.7182, 0.2673)  3 Tb 3.10-3.24
Te (0.2500, 0.2818, 0.7327)  3 Tb 3.10-3.24
Te (0.7500, 0.1423, 0.4675)  2 Tb 3.16, 2 Ba 3.52
Te (0.2500, 0.8577, 0.5325)  2 Tb 3.16, 2 Ba 3.52
Te (0.7500, 0.7894, 0.7496)  3 Tb 3.05-3.15
Te (0.2500, 0.2106, 0.2504)  3 Tb 3.05-3.15

Properties
M_tot (Bohr magnetons per cell): 0.000
SG: No. 11
Uncorrected formation energy (meV per atom): -1367



> Which formula does entry 4 have?

BaTb2Tc



> What is the formula in the sixth record?

BaTb6Te8



> What is the M_tot in the second record?

0.000 Bohr magnetons per cell